Entry 1:
Here is a geometry-optimized Li7DyTl4 structure from Alexandria via LeMat-Bulk. Energies are from GGA-PBE.

It has space group C2/m (No. 12), with a = 11.068 Å, b = 5.273 Å, c = 10.270 Å, α = 90.00°, β = 121.17° and γ = 90.00°. The asymmetric unit holds Li at (0.000, 0.000, 0.000), Li at (0.100, 0.500, 0.441), Li at (0.165, 0.000, 0.622), Li at (0.172, 0.000, 0.894), Dy at (0.000, 0.500, 0.000), Tl at (0.108, 0.000, 0.313) and Tl at (0.185, 0.500, 0.800).

The spin magnetization comes out at 0.00 μB/cell. The calculation puts the formation energy at -0.07 eV/atom. For the calculated total energy, the calculation gives -28.3 eV per formula unit. As for the crystal system: monoclinic.



Entry 2:
Here is a geometry-optimized K2AgMo structure from Alexandria via LeMat-Bulk. Energies are from GGA-PBE.

It has space group C2/m (No. 12), with a = 20.283 Å, b = 3.547 Å, c = 4.361 Å, α = 90.00°, β = 102.35° and γ = 90.00°. The asymmetric unit holds K at (0.148, 0.000, 0.148), Ag at (0.000, 0.500, 0.000) and Mo at (0.000, 0.000, 0.500).

The spin magnetization comes out at 7.65 μB/cell. The calculation puts the formation energy at 0.94 eV/atom. The calculation puts the energy above the most stable polymorph in this dataset at 46 meV/atom. For the calculated total energy, the calculation gives -12.1 eV per formula unit. As for the crystal system: monoclinic.



Entry 3:
Here is a geometry-optimized NdGd2 structure from Alexandria via LeMat-Bulk. Energies are from GGA-PBE.

It has space group I4/mmm (No. 139), with a = 4.196 Å, b = 4.196 Å, c = 11.472 Å, α = 90.00°, β = 90.00° and γ = 90.00°. The asymmetric unit holds Nd at (0.000, 0.000, 0.000) and Gd at (0.000, 0.000, 0.330).

The spin magnetization comes out at 31.24 μB/cell. The calculation puts the formation energy at 0.08 eV/atom. The calculation puts the energy above the most stable polymorph in this dataset at 30 meV/atom. For the calculated total energy, the calculation gives -32.7 eV per formula unit. As for the crystal system: tetragonal.



Entry 4:
Here is a geometry-optimized KAgGe2 structure from Alexandria via LeMat-Bulk. Energies are from GGA-PBE.

It has space group R-3m (No. 166, hexagonal axes), with a = 4.4646 Å, b = 4.4646 Å, c = 18.7458 Å, α = 90.00°, β = 90.00° and γ = 120.00°. The asymmetric unit holds K at (0.0000, 0.0000, 0.0000), Ag at (0.0000, 0.0000, 0.5000) and Ge at (0.0000, 0.0000, 0.2075).

The spin magnetization comes out at 0.00 μB/cell. The calculation puts the formation energy at -0.01 eV/atom. The calculation puts the energy above the most stable polymorph in this dataset at 0 meV/atom. For the calculated total energy, the calculation gives -13.2 eV per formula unit. As for the crystal system: trigonal.



Entry 5:
Here is a geometry-optimized Sc2AgSe structure from Alexandria via LeMat-Bulk. Energies are from GGA-PBE.

It has space group R3m (No. 160, hexagonal axes), with a = 3.6704 Å, b = 3.6704 Å, c = 22.0751 Å, α = 90.00°, β = 90.00° and γ = 120.00°. The asymmetric unit holds Sc at (0.0000, 0.0000, 0.0000), Sc at (0.0000, 0.0000, 0.1800), Ag at (0.0000, 0.0000, 0.7574) and Se at (0.0000, 0.0000, 0.5886).

The spin magnetization comes out at 0.00 μB/cell. The value obtained for the formation energy (no corrections) is -0.7859 eV per atom. For the calculated total energy, the calculation gives -22.1 eV per formula unit. As for the crystal system: trigonal.



Entry 6:
Here is a geometry-optimized Tb2Y6Tm3 structure from Alexandria via LeMat-Bulk. Energies are from GGA-PBE.

It has space group Pnnm (No. 58), with a = 6.012 Å, b = 10.660 Å, c = 11.269 Å, α = 90.00°, β = 90.00° and γ = 90.00°. The asymmetric unit holds Tb at (0.235, 0.069, 0.000), Y at (0.028, 0.322, 0.226), Y at (0.135, 0.226, 0.500), Tm at (0.000, 0.000, 0.294) and Tm at (0.000, 0.500, 0.000).

The spin magnetization comes out at 0.00 μB/cell. The calculation puts the formation energy at 0.23 eV/atom. The calculation puts the energy above the most stable polymorph in this dataset at 0 meV/atom. For the calculated total energy, the calculation gives -59.0 eV per formula unit. As for the crystal system: orthorhombic.



Entry 7:
Here is a geometry-optimized CaIr2Cl structure from Alexandria via LeMat-Bulk. Energies are from GGA-PBE.

It has space group Cmmm (No. 65), with a = 3.012 Å, b = 5.114 Å, c = 9.078 Å, α = 90.00°, β = 90.00° and γ = 90.00°. The asymmetric unit holds Ca at (0.000, 0.000, 0.000), Ir at (0.000, 0.500, 0.264) and Cl at (0.000, 0.000, 0.500).

The spin magnetization comes out at 0.00 μB/cell. The value obtained for the formation energy (no corrections) is 0.6028 eV per atom. The calculation puts the energy above the most stable polymorph in this dataset at 986 meV/atom. For the calculated total energy, the calculation gives -19.2 eV per formula unit. As for the crystal system: orthorhombic.



Entry 8:
Here is a geometry-optimized Y2PuF11 structure from Alexandria via LeMat-Bulk. Energies are from GGA-PBE.

It has space group Ibam (No. 72), with a = 8.091 Å, b = 10.370 Å, c = 11.042 Å, α = 90.00°, β = 90.00° and γ = 90.00°. The asymmetric unit holds Y at (0.135, 0.181, 0.000), Pu at (0.000, 0.500, 0.250), F at (0.000, 0.000, 0.000), F at (0.095, 0.331, 0.150), F at (0.127, 0.225, 0.500) and F at (0.210, 0.434, 0.360).

The spin magnetization comes out at 12.00 μB/cell. The value obtained for the formation energy (no corrections) is -3.6122 eV per atom. For the calculated total energy, the calculation gives -98.4 eV per formula unit. As for the crystal system: orthorhombic.



Entry 9:
Here is a geometry-optimized TcAg2Cl structure from Alexandria via LeMat-Bulk. Energies are from GGA-PBE.

It has space group I4/mmm (No. 139), with a = 3.865 Å, b = 3.865 Å, c = 10.195 Å, α = 90.00°, β = 90.00° and γ = 90.00°. The asymmetric unit holds Tc at (0.000, 0.000, 0.000), Ag at (0.000, 0.500, 0.250) and Cl at (0.000, 0.000, 0.500).

The spin magnetization comes out at 6.60 μB/cell. The value obtained for the formation energy (no corrections) is 0.7686 eV per atom. The calculation puts the energy above the most stable polymorph in this dataset at 531 meV/atom. For the calculated total energy, the calculation gives -14.8 eV per formula unit. As for the crystal system: tetragonal.



Entry 10:
Here is a geometry-optimized TcHg3 structure from Alexandria via LeMat-Bulk. Energies are from GGA-PBE.

It has space group Pm-3n (No. 223), with a = 5.544 Å, b = 5.544 Å, c = 5.544 Å, α = 90.00°, β = 90.00° and γ = 90.00°. The asymmetric unit holds Tc at (0.000, 0.000, 0.000) and Hg at (0.000, 0.250, 0.500).

The spin magnetization comes out at 4.26 μB/cell. The calculation puts the formation energy at 0.78 eV/atom. The calculation puts the energy above the most stable polymorph in this dataset at 437 meV/atom. For the calculated total energy, the calculation gives -8.2 eV per formula unit. As for the crystal system: cubic.



Entry 11:
Here is a geometry-optimized ScFe2P structure from Alexandria via LeMat-Bulk. Energies are from GGA-PBE.

It has space group P4mm (No. 99), with a = 3.003 Å, b = 3.003 Å, c = 6.138 Å, α = 90.00°, β = 90.00° and γ = 90.00°. The asymmetric unit holds Sc at (0.000, 0.000, 0.000), Fe at (0.000, 0.000, 0.524), Fe at (0.500, 0.500, 0.297) and P at (0.500, 0.500, 0.688).

The spin magnetization comes out at 3.49 μB/cell. The calculation puts the formation energy at -0.31 eV/atom. For the calculated total energy, the calculation gives -29.9 eV per formula unit. As for the crystal system: tetragonal.



Q: Look up the calculated total energy of the tenth one.
A: -8.2 eV per formula unit



Q: calculated total energy of number 2 (K2AgMo)?
A: -12.1 eV per formula unit



Q: Which of these has the lowest calculated total energy?
A: Y2PuF11



Please write out number 3 again, unchanged.
Here is a geometry-optimized NdGd2 structure from Alexandria via LeMat-Bulk. Energies are from GGA-PBE.

It has space group I4/mmm (No. 139), with a = 4.196 Å, b = 4.196 Å, c = 11.472 Å, α = 90.00°, β = 90.00° and γ = 90.00°. The asymmetric unit holds Nd at (0.000, 0.000, 0.000) and Gd at (0.000, 0.000, 0.330).

The spin magnetization comes out at 31.24 μB/cell. The calculation puts the formation energy at 0.08 eV/atom. The calculation puts the energy above the most stable polymorph in this dataset at 30 meV/atom. For the calculated total energy, the calculation gives -32.7 eV per formula unit. As for the crystal system: tetragonal.